## KCoCu2 (PBE-GGA)

Data for an optimized crystal structure of KCoCu2.

Summary:
Distance to the lowest polymorph of the same formula, eV/f.u.: 0.86
Space group: R-3m
VASP energy, eV for the cell shown: -13.41

a b c (Å): 9.6041 9.6041 9.6041
angles (deg): 16.70 16.70 16.70
Site moments in Bohr magnetons follow the coordinates.
Fractional positions:
Co  0.7500  0.7500  0.7500  1.68
Cu  0.0158  0.0158  0.0158  0.01
Cu  0.4842  0.4842  0.4842  0.01
K  0.2500  0.2500  0.2500  -0.03

=====

## K2CoCu (PBE-GGA)

Data for an optimized crystal structure of K2CoCu.

Summary:
Distance to the lowest polymorph of the same formula, eV/f.u.: 0.16
Space group: Pmm2
VASP energy, eV for the cell shown: -10.93

a b c (Å): 3.4467 3.4333 9.9143
angles (deg): 90.00 90.00 90.00
Site moments in Bohr magnetons follow the coordinates.
Fractional positions:
Co  0.0000  0.0000  0.6037  1.76
Cu  0.5000  0.5000  0.6488  0.10
K  0.0000  0.0000  0.9094  -0.01
K  0.5000  0.5000  0.3381  -0.01

=====

## KCoCu2 (PBE-GGA)

Data for an optimized crystal structure of KCoCu2.

Summary:
Distance to the lowest polymorph of the same formula, eV/f.u.: 0.00
Space group: P4/mmm
VASP energy, eV for the cell shown: -14.26

a b c (Å): 3.0428 3.0428 7.6168
angles (deg): 90.00 90.00 90.00
Site moments in Bohr magnetons follow the coordinates.
Fractional positions:
Co  0.5000  0.5000  0.7500  1.51
Cu  0.0000  0.0000  0.9139  0.06
Cu  0.0000  0.0000  0.5861  0.06
K  0.5000  0.5000  0.2500  0.00

=====

## KCoCu2 (PBE-GGA)

Data for an optimized crystal structure of KCoCu2.

Summary:
Distance to the lowest polymorph of the same formula, eV/f.u.: 0.06
Space group: C2/m
VASP energy, eV for the cell shown: -14.20

a b c (Å): 4.3226 4.3226 6.8492
angles (deg): 85.09 85.09 36.46
Site moments in Bohr magnetons follow the coordinates.
Fractional positions:
Co  0.2500  0.2500  0.2500  1.66
Cu  0.9828  0.9828  0.1037  0.06
Cu  0.5172  0.5172  0.3963  0.06
K  0.7500  0.7500  0.7500  -0.01

=====

## K2CoCu (PBE-GGA)

Data for an optimized crystal structure of K2CoCu.

Summary:
Distance to the lowest polymorph of the same formula, eV/f.u.: 0.44
Space group: Amm2
VASP energy, eV for the cell shown: -10.65

a b c (Å): 4.3587 5.2426 6.1994
angles (deg): 65.00 90.00 90.00
Site moments in Bohr magnetons follow the coordinates.
Fractional positions:
Co  0.0000  0.6583  0.5584  1.61
Cu  0.5000  0.5909  0.6935  0.08
K  0.0000  0.9759  0.9235  -0.01
K  0.5000  0.2750  0.3245  -0.01

=====

## K2CoCu (PBE-GGA)

Data for an optimized crystal structure of K2CoCu.

Summary:
Distance to the lowest polymorph of the same formula, eV/f.u.: 0.48
Space group: Imm2
VASP energy, eV for the cell shown: -10.61

a b c (Å): 6.1069 6.1069 6.1069
angles (deg): 139.20 124.06 71.51
Site moments in Bohr magnetons follow the coordinates.
Fractional positions:
Co  0.4168  0.4168  0.0000  1.68
Cu  0.3307  0.8307  0.5000  0.10
K  0.0315  0.0315  0.0000  -0.01
K  0.7210  0.2210  0.5000  -0.01

=====

## K2CoCu (PBE-GGA)

Data for an optimized crystal structure of K2CoCu.

Summary:
Distance to the lowest polymorph of the same formula, eV/f.u.: 0.00
Space group: Cm
VASP energy, eV for the cell shown: -11.09

a b c (Å): 4.1313 4.1313 9.4223
angles (deg): 79.09 79.09 59.97
Site moments in Bohr magnetons follow the coordinates.
Fractional positions:
Co  0.5414  0.5414  0.3755  1.68
Cu  0.2083  0.2083  0.3746  0.13
K  0.9505  0.9505  0.1140  -0.01
K  0.7999  0.7999  0.6358  -0.01

=====

## KCoCu2 (PBE-GGA)

Data for an optimized crystal structure of KCoCu2.

Summary:
Distance to the lowest polymorph of the same formula, eV/f.u.: 0.34
Space group: P4mm
VASP energy, eV for the cell shown: -13.92

a b c (Å): 3.0005 3.0005 7.8322
angles (deg): 90.00 90.00 90.00
Site moments in Bohr magnetons follow the coordinates.
Fractional positions:
Co  0.5000  0.5000  0.8344  1.63
Cu  0.0000  0.0000  0.9989  0.07
Cu  0.5000  0.5000  0.1654  0.00
K  0.0000  0.0000  0.5021  -0.03

=====

## K4CoCu (PBE-GGA)

Data for an optimized crystal structure of K4CoCu.

Summary:
Space group: F-43m
VASP energy, eV for the cell shown: -9.44

a b c (Å): 7.2702 7.2702 7.2702
angles (deg): 60.00 60.00 60.00
Site moments in Bohr magnetons follow the coordinates.
Fractional positions:
K  0.8755  0.3748  0.3748  0.00
K  0.3748  0.3748  0.8755  0.00
K  0.3748  0.8755  0.3748  0.00
K  0.3748  0.3748  0.3748  0.00
Co  0.7500  0.7500  0.7500  2.14
Cu  0.0000  0.0000  0.0000  0.01

=====

## K3CoCu (PBE-GGA)

Data for an optimized crystal structure of K3CoCu.

Summary:
Space group: Pm-3m
VASP energy, eV for the cell shown: -9.86

a b c (Å): 6.1300 6.1300 6.1300
angles (deg): 90.00 90.00 90.00
Site moments in Bohr magnetons follow the coordinates.
Fractional positions:
K  0.0000  0.5000  0.0000  -0.02
K  0.0000  0.0000  0.5000  -0.02
K  0.5000  0.0000  0.0000  -0.01
Co  0.0000  0.0000  0.0000  1.61
Cu  0.5000  0.5000  0.5000  0.01

=====

## K2CoCu (PBE-GGA)

Data for an optimized crystal structure of K2CoCu.

Summary:
Distance to the lowest polymorph of the same formula, eV/f.u.: 2.03
Space group: R-3m
VASP energy, eV for the cell shown: -9.06

a b c (Å): 10.9103 10.9103 10.9103
angles (deg): 17.23 17.23 17.23
Site moments in Bohr magnetons follow the coordinates.
Fractional positions:
Co  0.7500  0.7500  0.7500  1.95
Cu  0.2500  0.2500  0.2500  0.00
K  0.9996  0.9996  0.9996  -0.01
K  0.5004  0.5004  0.5004  -0.01

=====

## KCoCu2 (PBE-GGA)

Data for an optimized crystal structure of KCoCu2.

Summary:
Distance to the lowest polymorph of the same formula, eV/f.u.: 0.19
Space group: Cm
VASP energy, eV for the cell shown: -14.07

a b c (Å): 4.4034 4.4034 6.7940
angles (deg): 85.24 85.24 35.51
Site moments in Bohr magnetons follow the coordinates.
Fractional positions:
Co  0.2689  0.2689  0.1386  1.66
Cu  0.0017  0.0017  0.0125  0.08
Cu  0.7313  0.7313  0.8499  0.03
K  0.4981  0.4981  0.4990  -0.01

=====

## KCoCu2 (PBE-GGA)

Data for an optimized crystal structure of KCoCu2.

Summary:
Distance to the lowest polymorph of the same formula, eV/f.u.: 2.05
Space group: Fm-3m
VASP energy, eV for the cell shown: -12.21

a b c (Å): 4.6633 4.6633 4.6633
angles (deg): 60.00 60.00 60.00
Site moments in Bohr magnetons follow the coordinates.
Fractional positions:
K  0.0000  0.0000  0.0000  -0.01
Co  0.5000  0.5000  0.5000  1.78
Cu  0.2500  0.2500  0.2500  0.03
Cu  0.7500  0.7500  0.7500  0.03

=====

## KCoCu2 (PBE-GGA)

Data for an optimized crystal structure of KCoCu2.

Summary:
Distance to the lowest polymorph of the same formula, eV/f.u.: 1.95
Space group: I-4m2
VASP energy, eV for the cell shown: -12.31

a b c (Å): 5.1659 5.1659 5.1659
angles (deg): 134.54 134.54 66.25
Site moments in Bohr magnetons follow the coordinates.
Fractional positions:
Co  0.7500  0.2500  0.5000  1.71
Cu  0.0000  0.0000  0.0000  0.01
Cu  0.2500  0.7500  0.5000  -0.01
K  0.5000  0.5000  0.0000  -0.01

=====

## KCoCu2 (PBE-GGA)

Data for an optimized crystal structure of KCoCu2.

Summary:
Distance to the lowest polymorph of the same formula, eV/f.u.: 0.13
Space group: Pm
VASP energy, eV for the cell shown: -14.13

a b c (Å): 4.1345 2.6221 6.9694
angles (deg): 90.72 90.00 90.00
Site moments in Bohr magnetons follow the coordinates.
Fractional positions:
Co  0.5000  0.6194  0.8754  1.55
Cu  0.0000  0.1242  0.9527  0.07
Cu  0.5000  0.1270  0.1703  0.02
K  0.0000  0.6293  0.5016  -0.01

=====

| no. | M_tot (μB/atom) | formation energy (eV per atom) |
| --- | --- | --- |
| 1 | 0.37 | 0.7475 |
| 2 | 0.42 | 0.6175 |
| 3 | 0.38 | 0.5336 |
| 4 | 0.41 | 0.5490 |
| 5 | 0.34 | 0.6877 |
| 6 | 0.38 | 0.6968 |
| 7 | 0.42 | 0.5772 |
| 8 | 0.37 | 0.6187 |
| 9 | 0.36 | 1.0253 |
| 10 | 0.22 | 0.9271 |
| 11 | 0.45 | 1.0841 |
| 12 | 0.42 | 0.5820 |
| 13 | 0.44 | 1.0465 |
| 14 | 0.40 | 1.0216 |
| 15 | 0.38 | 0.5665 |